## Pu2Ni3H12Ru (PBE-GGA)

Data for a relaxed structure of Pu2Ni3H12Ru.

Density of states at the Fermi level, states/eV/f.u.: 22.63
E, eV per formula unit: -98.33

abc: 5.7095 5.7095 15.1267
angles: 90.00 90.00 120.00
Last column: nearest neighbours and their distance in Å.
Space group R-3m (No. 166, hexagonal axes)
Unique sites:
Pu  0.0000  0.0000  0.1138 (multiplicity 6)  6 H 2.33-2.39
Ni  0.0000  0.5000  0.0000 (multiplicity 9)  6 H 1.60-1.69
H  0.0203  0.5101  0.1118 (multiplicity 18)  1 Ni 1.69, 1 Ru 1.76
H  0.0274  0.5137  0.3481 (multiplicity 18)  2 Ni 1.60
Ru  0.0000  0.0000  0.5000 (multiplicity 3)  6 H 1.76